1.
Below is a geometry-optimized TbMg5Sc2 structure, with properties calculated at the GGA-PBE level.

Results
E above lowest polymorph ... 0.144 eV/atom
Formation enthalpy at 0 K ... 0.0910 eV/atom
E ... -3.067 eV per atom

Cell: 8.030 8.030 8.379 Å, 118.63 118.63 90.00°
Fractional coordinates of all 16 atoms:
1 Tb 0.750 0.750 0.500
2 Mg 0.195 0.980 0.674
3 Tb 0.250 0.250 0.500
4 Mg 0.695 0.195 0.674
5 Mg 0.980 0.480 0.674
6 Mg 0.480 0.695 0.674
7 Mg 0.020 0.520 0.326
8 Sc 0.845 0.655 0.000
9 Sc 0.155 0.345 0.000
10 Mg 0.000 0.000 0.000
11 Mg 0.520 0.305 0.326
12 Mg 0.305 0.805 0.326
13 Sc 0.345 0.845 0.000
14 Mg 0.500 0.500 0.000
15 Mg 0.805 0.020 0.326
16 Sc 0.655 0.155 0.000

2.
Below is a geometry-optimized Sc4GeAs2Se structure, with properties calculated at the GGA-PBE level.

Results
E ... -6.653 eV per atom
Formation energy without anion corrections ... -1312 meV/atom

Cell: 3.865 6.756 6.732 Å, 109.17 90.00 90.00°
Fractional coordinates of all 8 atoms:
1 As 0.000 0.500 0.500
2 Se 0.000 0.000 0.000
3 Sc 0.500 0.259 0.256
4 Sc 0.000 0.251 0.747
5 Sc 0.500 0.741 0.744
6 Sc 0.000 0.749 0.253
7 As 0.500 0.000 0.500
8 Ge 0.500 0.500 0.000

3.
Below is a geometry-optimized TaMnAl2 structure, with properties calculated at the GGA-PBE level.

Results
E above lowest polymorph ... 0.073 eV/atom
Formation enthalpy at 0 K ... -0.1426 eV/atom
E ... -7.269 eV per atom

Cell: 4.131 2.778 5.450 Å, 73.99 90.00 90.00°
Each line ends with the local moment (μB).
Fractional coordinates of all 4 atoms:
1 Mn 0.500 0.250 0.250  1.90
2 Al 0.000 0.435 0.485  -0.02
3 Al 0.000 0.065 0.015  -0.02
4 Ta 0.500 0.750 0.750  -0.15

4.
Below is a geometry-optimized PmAg2Bi2 structure, with properties calculated at the GGA-PBE level.

Results
Formation enthalpy at 0 K ... -0.3800 eV/atom
E ... -4.023 eV per atom

Cell: 4.620 4.603 12.295 Å, 90.00 100.83 90.00°
Fractional coordinates of all 10 atoms:
1 Pm 0.644 0.750 0.287
2 Bi 0.884 0.750 0.768
3 Ag 0.036 0.750 0.072
4 Ag 0.464 0.750 0.928
5 Ag 0.964 0.250 0.928
6 Ag 0.536 0.250 0.072
7 Pm 0.356 0.250 0.713
8 Bi 0.750 0.250 0.500
9 Bi 0.250 0.750 0.500
10 Bi 0.116 0.250 0.232

> What is the E in the first record?

-3.067 eV per atom

> Among the records above, which one has the lowest E?

TaMnAl2